<a>
## MgCdBr2 (PBE)

Data for crystalline MgCdBr2 at its relaxed geometry.

Cell: 3.8286 3.8286 10.8722 Å, 99.65 99.65 60.00°
Element x y z (fractional)
Mg1 0.0000 0.0000 0.0000
Cd1 0.5000 0.5000 0.5000
Br1 0.2880 0.2880 0.8568
Br2 0.7120 0.7120 0.1432

---

<b>
## MgCdBr2 (PBE)

Data for crystalline MgCdBr2 at its relaxed geometry.

Properties
density of states at the Fermi level: 0.00 states/eV/atom

Cell: 7.5792 7.5792 7.5792 Å, 116.58 116.58 96.03°
Element x y z (fractional)
Mg1 0.0000 0.0000 0.0000
Mg2 0.7500 0.2500 0.5000
Cd1 0.2500 0.7500 0.5000
Cd2 0.5000 0.5000 0.0000
Br1 0.3750 0.0086 0.1336
Br2 0.7586 0.6250 0.6336
Br3 0.8750 0.2414 0.8664
Br4 0.9914 0.1250 0.3664

---

<c>
## MgCdBr2 (PBE)

Data for crystalline MgCdBr2 at its relaxed geometry.

Properties
density of states at the Fermi level: 0.01 states/eV/atom

Cell: 4.0110 4.0110 11.2228 Å, 90.00 90.00 124.55°
Element x y z (fractional)
Mg1 0.0000 0.0000 0.0000
Cd1 0.0000 0.0000 0.5000
Br1 0.5000 0.5000 0.1574
Br2 0.5000 0.5000 0.8426

---

<d>
## MgCdBr2 (PBE)

Data for crystalline MgCdBr2 at its relaxed geometry.

Properties
density of states at the Fermi level: 0.60 states/eV/atom

Cell: 5.2708 5.2708 5.2708 Å, 60.00 60.00 60.00°
Element x y z (fractional)
Mg1 0.0000 0.0000 0.0000
Cd1 0.5000 0.5000 0.5000
Br1 0.2500 0.2500 0.2500
Br2 0.7500 0.7500 0.7500

---

Least stable: <d>